Below is crystalline V2SnPb at its relaxed geometry, with properties calculated at the PBE level.

Cell and atoms, written as POSCAR:
```
V2SnPb
1.0
-3.753 3.753 2.979
3.753 -3.753 2.979
3.753 3.753 -2.979
V Sn Pb
4 2 2
Direct
0.117 0.625 0.992
0.375 0.367 0.492
0.633 0.125 0.008
0.875 0.883 0.508
0.000 0.000 0.000
0.750 0.250 0.500
0.250 0.750 0.500
0.500 0.500 0.000
```

Output
Energy relative to the lowest polymorph listed for this composition = 0.241 eV/atom
Density = 8.47 g/cm³
E = -5.73 eV per atom
Space group = I-42d (122)
Formation enthalpy at 0 K = 73.0 kJ per mole of atoms